The following is a PBE calculation of a relaxed Th2ScRe crystal, from the Alexandria database. Values from VASP.

## Properties
As for the space-group type: No. 166. The formation enthalpy at 0 K is 0.73 eV/atom. The value obtained for the energy relative to the lowest polymorph listed for this composition is 0.592 eV per atom. The density of states at the Fermi level is 6.549 states/eV/f.u.

Structure (Quantum ESPRESSO input):
```
&SYSTEM
  ibrav = 0, nat = 4, ntyp = 3
/
ATOMIC_SPECIES
Th 232.04 Th.upf
Sc 44.96 Sc.upf
Re 186.21 Re.upf
CELL_PARAMETERS angstrom
1.664 0.961 10.982
-1.664 0.961 10.982
0.000 -1.921 10.982
ATOMIC_POSITIONS crystal
Th 0.079 0.079 0.079
Th 0.921 0.921 0.921
Sc 0.500 0.500 0.500
Re 0.000 0.000 0.000
```